[1]
This record from Alexandria describes SrPu4NpN8 after structural relaxation. The functional is PBE-GGA.

abc: 6.8407 6.8407 6.8407
angles: 60.22 60.22 60.22
With the nearest neighbours (Å) after each atom.
Fractional coordinates of all 14 atoms:
Sr1 0.0000 0.0000 0.0000  6 N 2.52-2.53
Pu1 0.0011 0.0011 0.5009  6 N 2.23-2.33
Pu2 0.0011 0.5009 0.0011  6 N 2.23-2.33
Pu3 0.5009 0.0011 0.0011  6 N 2.23-2.33
Pu4 0.6192 0.6192 0.6192  4 N 2.25-2.46
Np1 0.3860 0.3860 0.3860  4 N 2.17-2.42
N1 0.2184 0.7404 0.7404  3 Pu 2.23-2.25
N2 0.2412 0.2412 0.2412  3 Pu 2.33, 1 Np 2.42
N3 0.2588 0.2588 0.7726  1 Np 2.17, 2 Pu 2.29
N4 0.2588 0.7726 0.2588  1 Np 2.17, 2 Pu 2.29
N5 0.7404 0.2184 0.7404  3 Pu 2.23-2.25
N6 0.7404 0.7404 0.2184  3 Pu 2.23-2.25
N7 0.7661 0.7661 0.7661  4 Pu 2.29-2.46
N8 0.7726 0.2588 0.2588  1 Np 2.17, 2 Pu 2.29

Computed properties:
Space group   R3m (160)
Total energy   -151.63 eV per cell
Fermi-level density of states   2.308 states/eV per atom
Formation energy from raw total energies   -934 meV per atom
Crystal system   trigonal

=====

[2]
This record from Alexandria describes Sr4PuNp3N8 after structural relaxation. The functional is PBE-GGA.

abc: 7.2303 7.2303 7.2303
angles: 59.07 59.07 59.07
With the nearest neighbours (Å) after each atom.
Fractional coordinates of all 16 atoms:
Sr1 0.0000 0.0000 0.0000  6 N 2.71
Sr2 0.0000 0.5000 0.5000  6 N 2.74-2.77
Sr3 0.5000 0.0000 0.5000  6 N 2.74-2.77
Sr4 0.5000 0.5000 0.0000  6 N 2.74-2.77
Pu1 0.5000 0.5000 0.5000  6 N 2.41
Np1 0.0000 0.0000 0.5000  6 N 2.33-2.36
Np2 0.0000 0.5000 0.0000  6 N 2.33-2.36
Np3 0.5000 0.0000 0.0000  6 N 2.33-2.36
N1 0.2215 0.7357 0.7357  2 Np 2.33, 1 Pu 2.41
N2 0.2319 0.2319 0.2319  3 Np 2.36
N3 0.2643 0.2643 0.7785  2 Np 2.33, 1 Pu 2.41
N4 0.2643 0.7785 0.2643  2 Np 2.33, 1 Pu 2.41
N5 0.7357 0.2215 0.7357  2 Np 2.33, 1 Pu 2.41
N6 0.7357 0.7357 0.2215  2 Np 2.33, 1 Pu 2.41
N7 0.7681 0.7681 0.7681  3 Np 2.36
N8 0.7785 0.2643 0.2643  2 Np 2.33, 1 Pu 2.41

Computed properties:
Space group   R-3m (166)
Total energy   -143.21 eV per cell
Fermi-level density of states   1.603 states/eV per atom
Formation energy from raw total energies   -1045 meV per atom
Crystal system   trigonal

=====

[3]
This record from Alexandria describes Sr4Pu3NpN8 after structural relaxation. The functional is PBE-GGA.

abc: 7.2265 7.2265 7.2265
angles: 59.19 59.19 59.19
With the nearest neighbours (Å) after each atom.
Fractional coordinates of all 16 atoms:
Sr1 0.0000 0.0000 0.0000  6 N 2.79
Sr2 0.0000 0.5000 0.5000  6 N 2.71-2.75
Sr3 0.5000 0.0000 0.5000  6 N 2.71-2.75
Sr4 0.5000 0.5000 0.0000  6 N 2.71-2.75
Pu1 0.0000 0.0000 0.5000  6 N 2.36-2.40
Pu2 0.0000 0.5000 0.0000  6 N 2.36-2.40
Pu3 0.5000 0.0000 0.0000  6 N 2.36-2.40
Np1 0.5000 0.5000 0.5000  6 N 2.31
N1 0.2310 0.2310 0.2310  3 Pu 2.36
N2 0.2428 0.7266 0.7266  1 Np 2.31, 2 Pu 2.40
N3 0.2734 0.2734 0.7572  1 Np 2.31, 2 Pu 2.40
N4 0.2734 0.7572 0.2734  1 Np 2.31, 2 Pu 2.40
N5 0.7266 0.2428 0.7266  1 Np 2.31, 2 Pu 2.40
N6 0.7266 0.7266 0.2428  1 Np 2.31, 2 Pu 2.40
N7 0.7572 0.2734 0.2734  1 Np 2.31, 2 Pu 2.40
N8 0.7690 0.7690 0.7690  3 Pu 2.36

Computed properties:
Space group   R-3m (166)
Total energy   -146.30 eV per cell
Fermi-level density of states   1.532 states/eV per atom
Formation energy from raw total energies   -1065 meV per atom
Crystal system   trigonal

=====

[4]
This record from Alexandria describes Sr3PuNp2N6 after structural relaxation. The functional is PBE-GGA.

abc: 8.0526 8.0526 7.2343
angles: 104.10 104.10 25.60
With the nearest neighbours (Å) after each atom.
Fractional coordinates of all 12 atoms:
Sr1 0.0000 0.0000 0.0000  6 N 2.72-2.75
Sr2 0.3344 0.3344 0.6665  6 N 2.70-2.79
Sr3 0.6656 0.6656 0.3335  6 N 2.70-2.79
Pu1 0.0000 0.0000 0.5000  6 N 2.40-2.42
Np1 0.3333 0.3333 0.1680  6 N 2.28-2.36
Np2 0.6667 0.6667 0.8320  6 N 2.28-2.36
N1 0.1583 0.1583 0.6197  2 Np 2.34, 1 Pu 2.42
N2 0.1796 0.1796 0.0510  3 Np 2.35-2.36
N3 0.4828 0.4828 0.2722  1 Np 2.28, 2 Pu 2.40
N4 0.5172 0.5172 0.7278  1 Np 2.28, 2 Pu 2.40
N5 0.8204 0.8204 0.9490  3 Np 2.35-2.36
N6 0.8417 0.8417 0.3803  2 Np 2.34, 1 Pu 2.42

Computed properties:
Space group   C2/m (12)
Total energy   -107.81 eV per cell
Fermi-level density of states   1.580 states/eV per atom
Formation energy from raw total energies   -1050 meV per atom
Crystal system   monoclinic

=====

[5]
This record from Alexandria describes Sr2PuNpN5 after structural relaxation. The functional is PBE-GGA.

abc: 7.2232 7.2232 12.2493
angles: 90.00 90.00 151.51
With the nearest neighbours (Å) after each atom.
Fractional coordinates of all 18 atoms:
Sr1 0.0784 0.9216 0.5000  6 N 2.55-2.84
Sr2 0.1556 0.8444 0.1284  5 N 2.63-2.89
Sr3 0.8444 0.1556 0.6284  5 N 2.63-2.89
Sr4 0.9216 0.0784 0.0000  6 N 2.55-2.84
Pu1 0.4692 0.5308 0.2739  3 N 1.98-2.22
Pu2 0.5308 0.4692 0.7739  3 N 1.98-2.22
Np1 0.2290 0.7710 0.8627  6 N 2.06-2.23
Np2 0.7710 0.2290 0.3627  6 N 2.06-2.23
N1 0.0756 0.9244 0.8700  1 Np 2.15, 2 Pu 2.22
N2 0.2587 0.7413 0.4705  2 Np 2.22
N3 0.3038 0.6962 0.2597  2 Np 2.23, 1 Pu 2.32
N4 0.3729 0.6271 0.8275  1 Np 2.06, 1 Pu 2.31
N5 0.4905 0.5095 0.6186  1 Pu 1.98
N6 0.5095 0.4905 0.1186  1 Pu 1.98
N7 0.6271 0.3729 0.3275  1 Np 2.06, 1 Pu 2.31
N8 0.6962 0.3038 0.7597  2 Np 2.23, 1 Pu 2.32
N9 0.7413 0.2587 0.9705  2 Np 2.22
N10 0.9244 0.0756 0.3700  1 Np 2.15, 2 Pu 2.22

Computed properties:
Space group   Cmc2_1 (36)
Total energy   -160.70 eV per cell
Fermi-level density of states   1.025 states/eV per atom
Formation energy from raw total energies   -899 meV per atom
Crystal system   orthorhombic

=====

[6]
This record from Alexandria describes Pu2Np3TaN6 after structural relaxation. The functional is PBE-GGA.

abc: 5.8643 5.8643 5.8696
angles: 99.67 99.67 119.82
With the nearest neighbours (Å) after each atom.
Fractional coordinates of all 12 atoms:
Pu1 0.1653 0.8347 0.0000  6 N 2.41-2.43
Pu2 0.8347 0.1653 0.0000  6 N 2.41-2.43
Np1 0.0000 0.0000 0.5000  6 N 2.40-2.55
Np2 0.3317 0.6683 0.5000  6 N 2.37-2.53
Np3 0.6683 0.3317 0.5000  6 N 2.37-2.53
Ta1 0.5000 0.5000 0.0000  6 N 2.25
N1 0.1114 0.4237 0.7631  1 Ta 2.25, 2 Np 2.38-2.40, 2 Pu 2.41-2.43
N2 0.2751 0.2751 0.2434  1 Ta 2.25, 2 Np 2.37, 2 Pu 2.43
N3 0.4237 0.1114 0.7631  1 Ta 2.25, 2 Np 2.38-2.40, 2 Pu 2.41-2.43
N4 0.5763 0.8886 0.2369  1 Ta 2.25, 2 Np 2.38-2.40, 2 Pu 2.41-2.43
N5 0.7249 0.7249 0.7566  1 Ta 2.25, 2 Np 2.37, 2 Pu 2.43
N6 0.8886 0.5763 0.2369  1 Ta 2.25, 2 Np 2.38-2.40, 2 Pu 2.41-2.43

Computed properties:
Space group   C2/m (12)
Total energy   -143.16 eV per cell
Fermi-level density of states   2.167 states/eV per atom
Formation energy from raw total energies   -1156 meV per atom
Crystal system   monoclinic

=====

Question: Look up the Fermi-level density of states of the third one.
Answer: 1.532 states/eV per atom

=====

Question: What is the formula in the fourth record?
Answer: Sr3PuNp2N6

=====

Copy entry 4 word for word.
This record from Alexandria describes Sr3PuNp2N6 after structural relaxation. The functional is PBE-GGA.

abc: 8.0526 8.0526 7.2343
angles: 104.10 104.10 25.60
With the nearest neighbours (Å) after each atom.
Fractional coordinates of all 12 atoms:
Sr1 0.0000 0.0000 0.0000  6 N 2.72-2.75
Sr2 0.3344 0.3344 0.6665  6 N 2.70-2.79
Sr3 0.6656 0.6656 0.3335  6 N 2.70-2.79
Pu1 0.0000 0.0000 0.5000  6 N 2.40-2.42
Np1 0.3333 0.3333 0.1680  6 N 2.28-2.36
Np2 0.6667 0.6667 0.8320  6 N 2.28-2.36
N1 0.1583 0.1583 0.6197  2 Np 2.34, 1 Pu 2.42
N2 0.1796 0.1796 0.0510  3 Np 2.35-2.36
N3 0.4828 0.4828 0.2722  1 Np 2.28, 2 Pu 2.40
N4 0.5172 0.5172 0.7278  1 Np 2.28, 2 Pu 2.40
N5 0.8204 0.8204 0.9490  3 Np 2.35-2.36
N6 0.8417 0.8417 0.3803  2 Np 2.34, 1 Pu 2.42

Computed properties:
Space group   C2/m (12)
Total energy   -107.81 eV per cell
Fermi-level density of states   1.580 states/eV per atom
Formation energy from raw total energies   -1050 meV per atom
Crystal system   monoclinic

=====

Question: Which of these has the highest total energy?
Answer: Sr3PuNp2N6